# 1
The following is a PBE-GGA calculation of a relaxed structure of Be2TlGeRu, from Alexandria via LeMat-Bulk.

Computed properties:
SG: P4/mmm
Energy of formation from the pure elements (meV per atom): 765
Total DFT energy (no corrections) (eV/atom): -3.977

Cell and atoms, written as CIF:
```
data_Be2TlGeRu
_symmetry_space_group_name_H-M 'P 1'
_symmetry_Int_Tables_number 1
_cell_length_a 4.312
_cell_length_b 4.312
_cell_length_c 5.177
_cell_angle_alpha 90.00
_cell_angle_beta 90.00
_cell_angle_gamma 90.00
loop_
_symmetry_equiv_pos_as_xyz
'x,y,z'
loop_
_atom_site_label
_atom_site_fract_x
_atom_site_fract_y
_atom_site_fract_z
Be1 0.000 0.500 0.000
Be2 0.500 0.000 0.000
Tl1 0.000 0.000 0.500
Ge1 0.500 0.500 0.500
Ru1 0.000 0.000 0.000
```

***

# 2
The following is a PBE-GGA calculation of a relaxed structure of GaW2N, from Alexandria via LeMat-Bulk.

Computed properties:
SG: Fm-3m
Uncorrected formation energy (eV/f.u.): 4.1
Total DFT energy (no corrections) (eV/atom): -8.279
Polymorph energy (0 for the lowest one) (meV/atom): 783

Cell and atoms, written as CIF:
```
data_GaW2N
_symmetry_space_group_name_H-M 'P 1'
_symmetry_Int_Tables_number 1
_cell_length_a 4.203
_cell_length_b 4.203
_cell_length_c 4.203
_cell_angle_alpha 60.00
_cell_angle_beta 60.00
_cell_angle_gamma 60.00
loop_
_symmetry_equiv_pos_as_xyz
'x,y,z'
loop_
_atom_site_label
_atom_site_fract_x
_atom_site_fract_y
_atom_site_fract_z
Ga1 0.000 0.000 0.000
W1 0.250 0.250 0.250
W2 0.750 0.750 0.750
N1 0.500 0.500 0.500
```

***

# 3
The following is a PBE-GGA calculation of a relaxed structure of BaTaCu, from Alexandria via LeMat-Bulk.

Computed properties:
SG: P-1
Energy of formation from the pure elements (meV per atom): 312
Total DFT energy (no corrections) (eV/atom): -5.646
Polymorph energy (0 for the lowest one) (meV/atom): 1

Cell and atoms, written as CIF:
```
data_BaTaCu
_symmetry_space_group_name_H-M 'P 1'
_symmetry_Int_Tables_number 1
_cell_length_a 3.424
_cell_length_b 3.467
_cell_length_c 12.793
_cell_angle_alpha 90.04
_cell_angle_beta 96.82
_cell_angle_gamma 90.00
loop_
_symmetry_equiv_pos_as_xyz
'x,y,z'
loop_
_atom_site_label
_atom_site_fract_x
_atom_site_fract_y
_atom_site_fract_z
Ba1 0.098 0.249 0.155
Ba2 0.902 0.751 0.845
Ta1 0.223 0.250 0.440
Ta2 0.777 0.750 0.560
Cu1 0.319 0.251 0.658
Cu2 0.681 0.749 0.342
```

***

# 4
The following is a PBE-GGA calculation of a relaxed structure of Al2Cu2Mo, from Alexandria via LeMat-Bulk.

Computed properties:
SG: P4/mbm
Energy of formation from the pure elements (meV per atom): -88
Total DFT energy (no corrections) (eV/atom): -5.390

Cell and atoms, written as CIF:
```
data_Al2Cu2Mo
_symmetry_space_group_name_H-M 'P 1'
_symmetry_Int_Tables_number 1
_cell_length_a 7.108
_cell_length_b 7.108
_cell_length_c 2.719
_cell_angle_alpha 90.00
_cell_angle_beta 90.00
_cell_angle_gamma 90.00
loop_
_symmetry_equiv_pos_as_xyz
'x,y,z'
loop_
_atom_site_label
_atom_site_fract_x
_atom_site_fract_y
_atom_site_fract_z
Al1 0.141 0.359 0.000
Al2 0.359 0.859 0.000
Al3 0.641 0.141 0.000
Al4 0.859 0.641 0.000
Cu1 0.156 0.656 0.500
Cu2 0.344 0.156 0.500
Cu3 0.656 0.844 0.500
Cu4 0.844 0.344 0.500
Mo1 0.000 0.000 0.000
Mo2 0.500 0.500 0.000
```

***

# 5
The following is a PBE-GGA calculation of a relaxed structure of Zr2HgAu, from Alexandria via LeMat-Bulk.

Computed properties:
SG: Cm
Energy of formation from the pure elements (meV per atom): -253
Total DFT energy (no corrections) (eV/atom): -5.422

Cell and atoms, written as CIF:
```
data_Zr2HgAu
_symmetry_space_group_name_H-M 'P 1'
_symmetry_Int_Tables_number 1
_cell_length_a 5.840
_cell_length_b 5.840
_cell_length_c 5.187
_cell_angle_alpha 115.16
_cell_angle_beta 115.16
_cell_angle_gamma 32.01
loop_
_symmetry_equiv_pos_as_xyz
'x,y,z'
loop_
_atom_site_label
_atom_site_fract_x
_atom_site_fract_y
_atom_site_fract_z
Zr1 0.000 0.000 0.000
Zr2 0.243 0.243 0.639
Hg1 0.761 0.761 0.155
Au1 0.501 0.501 0.510
```

***

# 6
The following is a PBE-GGA calculation of a relaxed structure of AcPrPbAu, from Alexandria via LeMat-Bulk.

Computed properties:
SG: F-43m
Energy of formation from the pure elements (meV per atom): -590
Total DFT energy (no corrections) (eV/atom): -4.558

Cell and atoms, written as CIF:
```
data_AcPrPbAu
_symmetry_space_group_name_H-M 'P 1'
_symmetry_Int_Tables_number 1
_cell_length_a 5.604
_cell_length_b 5.604
_cell_length_c 5.604
_cell_angle_alpha 60.00
_cell_angle_beta 60.00
_cell_angle_gamma 60.00
loop_
_symmetry_equiv_pos_as_xyz
'x,y,z'
loop_
_atom_site_label
_atom_site_fract_x
_atom_site_fract_y
_atom_site_fract_z
Ac1 0.000 0.000 0.000
Pr1 0.500 0.500 0.500
Pb1 0.750 0.750 0.750
Au1 0.250 0.250 0.250
```

***

# 7
The following is a PBE-GGA calculation of a relaxed structure of ZnOsCl2, from Alexandria via LeMat-Bulk.

Computed properties:
SG: P4/mmm
Uncorrected formation energy (eV/f.u.): 4.2
Total DFT energy (no corrections) (eV/atom): -3.009
Polymorph energy (0 for the lowest one) (meV/atom): 1050

Cell and atoms, written as CIF:
```
data_ZnOsCl2
_symmetry_space_group_name_H-M 'P 1'
_symmetry_Int_Tables_number 1
_cell_length_a 4.158
_cell_length_b 4.158
_cell_length_c 3.832
_cell_angle_alpha 90.00
_cell_angle_beta 90.00
_cell_angle_gamma 90.00
loop_
_symmetry_equiv_pos_as_xyz
'x,y,z'
loop_
_atom_site_label
_atom_site_fract_x
_atom_site_fract_y
_atom_site_fract_z
Zn1 0.000 0.000 0.000
Os1 0.500 0.500 0.000
Cl1 0.000 0.500 0.500
Cl2 0.500 0.000 0.500
```

***

| no. | mass density (g/cm3) | volume (Å³ per atom) | magnetization (μB per cell) |
| --- | --- | --- | --- |
| 1 | 6.83 | 19.2 | 0.00 |
| 2 | 14.28 | 13.1 | 0.00 |
| 3 | 8.41 | 25.1 | 0.00 |
| 4 | 6.70 | 13.7 | 0.00 |
| 5 | 11.45 | 21.0 | 0.00 |
| 6 | 10.30 | 31.1 | 0.93 |
| 7 | 8.19 | 16.6 | 0.00 |